[1]
# K2LiZn | Alexandria via LeMat-Bulk | PBE | relaxed
# * DFT formation energy: 0.20 eV per atom
data_K2LiZn
_chemical_formula_sum 'K2 Li1 Zn1'
_cell_length_a 6.065
_cell_length_b 6.065
_cell_length_c 4.373
_cell_angle_alpha 90.00
_cell_angle_beta 90.00
_cell_angle_gamma 90.00
_symmetry_space_group_name_H-M 'P 4/m m m'
_symmetry_Int_Tables_number 123
_symmetry_space_group_name_Hall '-P 4 2'
loop_
_atom_site_label
_atom_site_type_symbol
_atom_site_fract_x
_atom_site_fract_y
_atom_site_fract_z
K1 K 0.000 0.500 0.000
Li1 Li 0.000 0.000 0.500
Zn1 Zn 0.500 0.500 0.500

[2]
# B5C7 | Alexandria via LeMat-Bulk | PBE | relaxed
# * distance to the lowest polymorph of the same formula: 115 meV/atom
# * DFT formation energy: 0.37 eV per atom
data_B5C7
_chemical_formula_sum 'B10 C14'
_cell_length_a 8.850
_cell_length_b 2.676
_cell_length_c 8.118
_cell_angle_alpha 90.00
_cell_angle_beta 120.62
_cell_angle_gamma 90.00
_symmetry_space_group_name_H-M 'C 1 m 1'
_symmetry_Int_Tables_number 8
_symmetry_space_group_name_Hall 'C -2y'
loop_
_atom_site_label
_atom_site_type_symbol
_atom_site_fract_x
_atom_site_fract_y
_atom_site_fract_z
B1 B 0.000 0.000 0.000
B2 B 0.025 0.000 0.390
B3 B 0.106 0.500 0.705
B4 B 0.194 0.500 0.344
B5 B 0.310 0.000 0.062
C1 C 0.106 0.500 0.505
C2 C 0.116 0.000 0.224
C3 C 0.226 0.000 0.839
C4 C 0.317 0.500 0.566
C5 C 0.396 0.500 0.166
C6 C 0.407 0.000 0.673
C7 C 0.413 0.000 0.868

[3]
# ScInGa2I6 | Alexandria via LeMat-Bulk | PBE | relaxed
# * E_form (uncorrected): -0.71 eV per atom
data_ScInGa2I6
_chemical_formula_sum 'Sc1 In1 Ga2 I6'
_cell_length_a 8.098
_cell_length_b 8.104
_cell_length_c 8.690
_cell_angle_alpha 90.02
_cell_angle_beta 117.77
_cell_angle_gamma 119.97
_symmetry_space_group_name_H-M 'P 1'
_symmetry_Int_Tables_number 1
_symmetry_space_group_name_Hall 'P 1'
loop_
_atom_site_label
_atom_site_type_symbol
_atom_site_fract_x
_atom_site_fract_y
_atom_site_fract_z
Sc1 Sc 0.000 0.000 0.000
In1 In 0.014 0.507 0.522
Ga1 Ga 0.628 0.814 0.442
Ga2 Ga 0.646 0.323 0.969
I1 I 0.128 0.927 0.753
I2 I 0.129 0.766 0.216
I3 I 0.449 0.362 0.216
I4 I 0.553 0.626 0.753
I5 I 0.826 0.200 0.753
I6 I 0.853 0.087 0.216

[4]
# La5Fe | Alexandria via LeMat-Bulk | PBE | relaxed
# * distance to the lowest polymorph of the same formula: 704 meV/atom
# * DFT formation energy: 0.80 eV per atom
data_La5Fe
_chemical_formula_sum 'La5 Fe1'
_cell_length_a 6.3501
_cell_length_b 6.3501
_cell_length_c 5.9783
_cell_angle_alpha 90.00
_cell_angle_beta 90.00
_cell_angle_gamma 120.00
_symmetry_space_group_name_H-M 'P 6/m m m'
_symmetry_Int_Tables_number 191
_symmetry_space_group_name_Hall '-P 6 2'
loop_
_atom_site_label
_atom_site_type_symbol
_atom_site_fract_x
_atom_site_fract_y
_atom_site_fract_z
La1 La 0.0000 0.5000 0.0000
La2 La 0.3333 0.6667 0.5000
Fe1 Fe 0.0000 0.0000 0.5000

[5]
# AcNd2Cd2 | Alexandria via LeMat-Bulk | PBE | relaxed
# * distance to the lowest polymorph of the same formula: 52 meV/atom
# * DFT formation energy: -0.19 eV per atom
data_AcNd2Cd2
_chemical_formula_sum 'Ac4 Nd8 Cd8'
_cell_length_a 5.642
_cell_length_b 16.648
_cell_length_c 6.781
_cell_angle_alpha 90.00
_cell_angle_beta 90.00
_cell_angle_gamma 90.00
_symmetry_space_group_name_H-M 'C m c 21'
_symmetry_Int_Tables_number 36
_symmetry_space_group_name_Hall 'C 2c -2'
loop_
_atom_site_label
_atom_site_type_symbol
_atom_site_fract_x
_atom_site_fract_y
_atom_site_fract_z
Ac1 Ac 0.000 0.086 0.000
Nd1 Nd 0.000 0.302 0.222
Nd2 Nd 0.000 0.468 0.866
Cd1 Cd 0.000 0.130 0.495
Cd2 Cd 0.000 0.290 0.724

[6]
# Li4ZrCl | Alexandria via LeMat-Bulk | PBE | relaxed
# * E_form (uncorrected): 0.26 eV per atom
data_Li4ZrCl
_chemical_formula_sum 'Li16 Zr4 Cl4'
_cell_length_a 7.901
_cell_length_b 7.901
_cell_length_c 7.901
_cell_angle_alpha 90.00
_cell_angle_beta 90.00
_cell_angle_gamma 90.00
_symmetry_space_group_name_H-M 'F -4 3 m'
_symmetry_Int_Tables_number 216
_symmetry_space_group_name_Hall 'F -4 2 3'
loop_
_atom_site_label
_atom_site_type_symbol
_atom_site_fract_x
_atom_site_fract_y
_atom_site_fract_z
Li1 Li 0.125 0.125 0.125
Zr1 Zr 0.250 0.250 0.750
Cl1 Cl 0.000 0.000 0.500

[7]
# TmTiS2 | Alexandria via LeMat-Bulk | PBE | relaxed
# * E_form (uncorrected): -1.54 eV per atom
# * distance to the lowest polymorph of the same formula: 14 meV/atom
data_TmTiS2
_chemical_formula_sum 'Tm2 Ti2 S4'
_cell_length_a 3.503
_cell_length_b 6.809
_cell_length_c 6.044
_cell_angle_alpha 90.00
_cell_angle_beta 90.00
_cell_angle_gamma 90.00
_symmetry_space_group_name_H-M 'I m m 2'
_symmetry_Int_Tables_number 44
_symmetry_space_group_name_Hall 'I 2 -2'
loop_
_atom_site_label
_atom_site_type_symbol
_atom_site_fract_x
_atom_site_fract_y
_atom_site_fract_z
Tm1 Tm 0.000 0.000 0.000
Ti1 Ti 0.000 0.500 0.992
S1 S 0.000 0.238 0.656

[8]
# ReTcSb2 | Alexandria via LeMat-Bulk | PBE | relaxed
# * E_form (uncorrected): 0.41 eV per atom
# * distance to the lowest polymorph of the same formula: 270 meV/atom
data_ReTcSb2
_chemical_formula_sum 'Re1 Tc1 Sb2'
_cell_length_a 3.037
_cell_length_b 4.221
_cell_length_c 5.731
_cell_angle_alpha 90.00
_cell_angle_beta 90.00
_cell_angle_gamma 90.00
_symmetry_space_group_name_H-M 'P m m 2'
_symmetry_Int_Tables_number 25
_symmetry_space_group_name_Hall 'P 2 -2'
loop_
_atom_site_label
_atom_site_type_symbol
_atom_site_fract_x
_atom_site_fract_y
_atom_site_fract_z
Re1 Re 0.000 0.000 0.000
Tc1 Tc 0.500 0.500 0.706
Sb1 Sb 0.000 0.000 0.529
Sb2 Sb 0.500 0.500 0.176

[9]
# InIO4F | Alexandria via LeMat-Bulk | PBE | relaxed
# * E_form (uncorrected): -0.81 eV per atom
data_InIO4F
_chemical_formula_sum 'In4 I4 O16 F4'
_cell_length_a 9.277
_cell_length_b 7.167
_cell_length_c 7.633
_cell_angle_alpha 90.00
_cell_angle_beta 109.92
_cell_angle_gamma 90.00
_symmetry_space_group_name_H-M 'C 1 2/m 1'
_symmetry_Int_Tables_number 12
_symmetry_space_group_name_Hall '-C 2y'
loop_
_atom_site_label
_atom_site_type_symbol
_atom_site_fract_x
_atom_site_fract_y
_atom_site_fract_z
In1 In 0.132 0.000 0.216
I1 I 0.126 0.500 0.358
O1 O 0.116 0.303 0.200
O2 O 0.117 0.500 0.632
O3 O 0.162 0.000 0.514
F1 F 0.112 0.000 0.930

[10]
# KPPb | Alexandria via LeMat-Bulk | PBE | relaxed
# * DFT formation energy: -0.27 eV per atom
data_KPPb
_chemical_formula_sum 'K1 P1 Pb1'
_cell_length_a 4.1859
_cell_length_b 4.1859
_cell_length_c 6.4028
_cell_angle_alpha 90.00
_cell_angle_beta 90.00
_cell_angle_gamma 120.00
_symmetry_space_group_name_H-M 'P 3 m 1'
_symmetry_Int_Tables_number 156
_symmetry_space_group_name_Hall 'P 3 -2"'
loop_
_atom_site_label
_atom_site_type_symbol
_atom_site_fract_x
_atom_site_fract_y
_atom_site_fract_z
K1 K 0.0000 0.0000 0.0000
P1 P 0.6667 0.3333 0.3217
Pb1 Pb 0.3333 0.6667 0.5303

[11]
# AlCo2As | Alexandria via LeMat-Bulk | PBE | relaxed
# * distance to the lowest polymorph of the same formula: 406 meV/atom
# * DFT formation energy: 0.16 eV per atom
data_AlCo2As
_chemical_formula_sum 'Al4 Co8 As4'
_cell_length_a 5.926
_cell_length_b 5.926
_cell_length_c 5.926
_cell_angle_alpha 90.00
_cell_angle_beta 90.00
_cell_angle_gamma 90.00
_symmetry_space_group_name_H-M 'F -4 3 m'
_symmetry_Int_Tables_number 216
_symmetry_space_group_name_Hall 'F -4 2 3'
loop_
_atom_site_label
_atom_site_type_symbol
_atom_site_fract_x
_atom_site_fract_y
_atom_site_fract_z
Al1 Al 0.000 0.000 0.000
Co1 Co 0.000 0.000 0.500
Co2 Co 0.250 0.250 0.250
As1 As 0.250 0.250 0.750

[12]
# KCoIr | Alexandria via LeMat-Bulk | PBE | relaxed
# * distance to the lowest polymorph of the same formula: 0 meV/atom
# * DFT formation energy: 0.49 eV per atom
data_KCoIr
_chemical_formula_sum 'K2 Co2 Ir2'
_cell_length_a 2.661
_cell_length_b 3.983
_cell_length_c 11.728
_cell_angle_alpha 90.00
_cell_angle_beta 90.00
_cell_angle_gamma 90.00
_symmetry_space_group_name_H-M 'I m m 2'
_symmetry_Int_Tables_number 44
_symmetry_space_group_name_Hall 'I 2 -2'
loop_
_atom_site_label
_atom_site_type_symbol
_atom_site_fract_x
_atom_site_fract_y
_atom_site_fract_z
K1 K 0.000 0.000 0.000
Co1 Co 0.000 0.000 0.272
Ir1 Ir 0.000 0.000 0.722

[13]
# Na2HgTeO4 | Alexandria via LeMat-Bulk | PBE | relaxed
# * E_form (uncorrected): -1.00 eV per atom
data_Na2HgTeO4
_chemical_formula_sum 'Na8 Hg4 Te4 O16'
_cell_length_a 9.137
_cell_length_b 10.365
_cell_length_c 6.676
_cell_angle_alpha 90.00
_cell_angle_beta 131.83
_cell_angle_gamma 90.00
_symmetry_space_group_name_H-M 'C 1 2/c 1'
_symmetry_Int_Tables_number 15
_symmetry_space_group_name_Hall '-C 2yc'
loop_
_atom_site_label
_atom_site_type_symbol
_atom_site_fract_x
_atom_site_fract_y
_atom_site_fract_z
Na1 Na 0.000 0.000 0.000
Na2 Na 0.250 0.250 0.000
Hg1 Hg 0.250 0.250 0.500
Te1 Te 0.000 0.500 0.000
O1 O 0.028 0.287 0.521
O2 O 0.225 0.488 0.963